# 1
VASP calculation (SCAN) on CaSiRh at its PBEsol-relaxed geometry.

Cell: 3.1398 3.1398 10.6817 Å, 90.00 90.00 90.00°
Closest atoms and distances in Å follow each position.
Space group I4mm (No. 107)
Unique sites:
Ca (0.0000, 0.0000, 0.0000) [2 per cell]  5 Rh 3.10-3.18, 5 Si 3.11-3.16, 4 Ca 3.14
Si (0.0000, 0.0000, 0.7037) [2 per cell]  4 Rh 2.44
Rh (0.0000, 0.0000, 0.2976) [2 per cell]  4 Si 2.44

Summary:
Energy relative to the elements, uncorrected in eV per atom: -0.698
Uncorrected energy in eV/atom: -18.515
D(E_F) in states/eV/f.u.: 1.5

---

# 2
VASP calculation (SCAN) on CaSmRh2 at its PBEsol-relaxed geometry.

Cell: 6.7763 6.7763 6.7763 Å, 90.00 90.00 90.00°
Closest atoms and distances in Å follow each position.
Space group Fm-3m (No. 225)
Unique sites:
Ca (0.0000, 0.0000, 0.0000) [4 per cell]  8 Rh 2.93
Sm (0.0000, 0.0000, 0.5000) [4 per cell]  8 Rh 2.93
Rh (0.2500, 0.2500, 0.2500) [8 per cell]  4 Ca 2.93, 4 Sm 2.93

Summary:
DFT formation energy in eV/atom: -0.6085
Uncorrected energy in eV/atom: -31.021
D(E_F) in states/eV/f.u.: 1.4

---

# 3
VASP calculation (SCAN) on Ca3Sn13Rh4 at its PBEsol-relaxed geometry.

Cell: 9.6564 9.6564 9.6564 Å, 90.00 90.00 90.00°
Closest atoms and distances in Å follow each position.
Space group Pm-3n (No. 223)
Unique sites:
Ca (0.0000, 0.2500, 0.5000) [6 per cell]  12 Sn 3.39-3.40, 4 Rh 3.41
Sn (0.0000, 0.0000, 0.0000) [2 per cell]  12 Sn 3.30
Sn (0.0000, 0.3049, 0.1534) [24 per cell]  2 Rh 2.64
Rh (0.2500, 0.2500, 0.2500) [8 per cell]  6 Sn 2.64

Summary:
DFT formation energy in eV/atom: -0.5392
Uncorrected energy in eV/atom: -32.092
D(E_F) in states/eV/f.u.: 7.9

---

# 4
VASP calculation (SCAN) on Ca2Sn2Rh at its PBEsol-relaxed geometry.

Cell: 7.0520 7.0520 4.8063 Å, 90.00 90.00 90.00°
Closest atoms and distances in Å follow each position.
Space group P4/mbm (No. 127)
Unique sites:
Ca (0.1709, 0.3291, 0.0000) [4 per cell]  6 Sn 3.03-3.28
Sn (0.1446, 0.6446, 0.5000) [4 per cell]  2 Rh 2.71, 1 Sn 2.89, 2 Ca 3.03
Rh (0.0000, 0.0000, 0.5000) [2 per cell]  4 Sn 2.71

Summary:
DFT formation energy in eV/atom: -0.6528
Uncorrected energy in eV/atom: -25.641
D(E_F) in states/eV/f.u.: 2.1

---

# 5
VASP calculation (SCAN) on CaSnTeRh2 at its PBEsol-relaxed geometry.

Cell: 4.8396 4.8396 5.4893 Å, 90.00 90.00 90.00°
Closest atoms and distances in Å follow each position.
Space group P4/mmm (No. 123)
Unique sites:
Ca (0.0000, 0.0000, 0.0000) [1 per cell]  2 Te 2.74
Sn (0.5000, 0.5000, 0.0000) [1 per cell]  4 Ca 3.42, 8 Rh 3.66
Te (0.0000, 0.0000, 0.5000) [1 per cell]  4 Rh 2.42
Rh (0.0000, 0.5000, 0.5000) [2 per cell]  2 Te 2.42

Summary:
Energy relative to the elements, uncorrected in eV per atom: 0.310
Uncorrected energy in eV/atom: -29.766
D(E_F) in states/eV/f.u.: 5.8

---

# 6
VASP calculation (SCAN) on SrCaRh at its PBEsol-relaxed geometry.

Cell: 6.9997 6.9997 6.9997 Å, 90.00 90.00 90.00°
Closest atoms and distances in Å follow each position.
Space group F-43m (No. 216)
Unique sites:
Sr (0.0000, 0.0000, 0.0000) [4 per cell]  4 Rh 3.03
Ca (0.0000, 0.0000, 0.5000) [4 per cell]  4 Rh 3.03
Rh (0.2500, 0.2500, 0.2500) [4 per cell]  4 Ca 3.03, 4 Sr 3.03

Summary:
DFT formation energy in eV/atom: -0.1971
Excess energy over the best structure of this formula in the dataset in meV per atom: 30
Uncorrected energy in eV/atom: -22.101
D(E_F) in states/eV/f.u.: 2.9